1.
The following is a GGA-PBE calculation of an optimized crystal structure of NaTm2C, from Alexandria via LeMat-Bulk.

Geometry as extended XYZ:
```
4
Lattice="1.752 1.012 9.744 -1.752 1.012 9.744 0.000 -2.023 9.744" Properties=species:S:1:pos:R:3 pbc="T T T"
Na 0.000 0.000 0.000
Tm 0.000 0.000 3.556
Tm 0.000 0.000 25.676
C 0.000 0.000 14.616
```

Properties
**Formation energy from the elements**: -0.143 eV per atom
**Space group**: R-3m
**Spin magnetization**: 0.00 μB/cell

2.
The following is a GGA-PBE calculation of an optimized crystal structure of NaTm2C, from Alexandria via LeMat-Bulk.

Geometry as extended XYZ:
```
4
Lattice="3.142 0.000 0.000 0.000 3.142 0.000 0.000 0.000 9.155" Properties=species:S:1:pos:R:3 pbc="T T T"
Na 0.000 0.000 0.000
Tm 1.571 1.571 3.219
Tm 1.571 1.571 5.935
C 0.000 0.000 4.577
```

Properties
**Formation energy from the elements**: 0.301 eV per atom
**Space group**: P4/mmm
**Spin magnetization**: 0.00 μB/cell

3.
The following is a GGA-PBE calculation of an optimized crystal structure of NaUC, from Alexandria via LeMat-Bulk.

Geometry as extended XYZ:
```
6
Lattice="2.360 -2.360 0.000 2.360 2.360 0.000 -0.013 0.000 11.914" Properties=species:S:1:pos:R:3 pbc="T T T"
Na 1.173 0.000 1.500
Na 3.535 0.000 10.414
U 1.174 0.000 7.309
U 3.534 0.000 4.605
C 1.173 0.000 4.970
C 3.534 0.000 6.943
```

Properties
**Formation energy from the elements**: 0.105 eV per atom
**Space group**: C2/m
**Spin magnetization**: 2.97 μB/cell